1.
Below is a relaxed structure of InSn2N, with properties calculated at the PBE-GGA level.

Unit cell a=6.011 b=6.011 c=6.956 alpha=64.40 beta=64.40 gamma=90.00
Atoms (fractional coordinates):
In1 0.750 0.250 0.500
Sn1 0.375 0.461 0.750
In2 0.000 0.000 0.000
N1 0.500 0.500 0.000
Sn2 0.875 0.789 0.750
Sn3 0.211 0.625 0.250
Sn4 0.539 0.125 0.250
N2 0.250 0.750 0.500

Values from the calculation:
Magnetization = 0.0 Bohr magnetons per cell
Crystal system = tetragonal
Uncorrected energy = -4.417 eV per atom

---

2.
Below is a relaxed structure of InSn3N, with properties calculated at the PBE-GGA level.

Unit cell a=5.551 b=5.551 c=5.551 alpha=90.00 beta=90.00 gamma=90.00
Atoms (fractional coordinates):
Sn1 0.000 0.500 0.000
Sn2 0.000 0.000 0.500
In1 0.000 0.000 0.000
N1 0.500 0.500 0.500
Sn3 0.500 0.000 0.000

Values from the calculation:
Magnetization = 0.0 Bohr magnetons per cell
Crystal system = cubic
Uncorrected energy = -2.886 eV per atom

---

3.
Below is a relaxed structure of InSn2N, with properties calculated at the PBE-GGA level.

Unit cell a=4.955 b=4.955 c=4.955 alpha=60.00 beta=60.00 gamma=60.00
Atoms (fractional coordinates):
Sn1 0.750 0.750 0.750
Sn2 0.250 0.250 0.250
N1 0.000 0.000 0.000
In1 0.500 0.500 0.500

Values from the calculation:
Magnetization = 0.0 Bohr magnetons per cell
Crystal system = cubic
Uncorrected energy = -3.729 eV per atom

---

4.
Below is a relaxed structure of In2SnN, with properties calculated at the PBE-GGA level.

Unit cell a=6.031 b=6.031 c=6.884 alpha=64.02 beta=64.02 gamma=90.00
Atoms (fractional coordinates):
In1 0.875 0.779 0.750
In2 0.375 0.471 0.750
In3 0.221 0.625 0.250
N1 0.500 0.500 0.000
Sn1 0.750 0.250 0.500
In4 0.529 0.125 0.250
Sn2 0.000 0.000 0.000
N2 0.250 0.750 0.500

Values from the calculation:
Magnetization = 0.0 Bohr magnetons per cell
Crystal system = tetragonal
Uncorrected energy = -4.150 eV per atom

---

5.
Below is a relaxed structure of InSnN2, with properties calculated at the PBE-GGA level.

Unit cell a=5.120 b=5.120 c=6.274 alpha=65.92 beta=65.92 gamma=90.00
Atoms (fractional coordinates):
Sn1 0.000 0.000 0.000
N1 0.375 0.367 0.750
N2 0.117 0.625 0.250
N3 0.633 0.125 0.250
Sn2 0.750 0.250 0.500
In1 0.250 0.750 0.500
In2 0.500 0.500 0.000
N4 0.875 0.883 0.750

Values from the calculation:
Magnetization = 0.0 Bohr magnetons per cell
Crystal system = tetragonal
Uncorrected energy = -5.567 eV per atom

---

6.
Below is a relaxed structure of InSn3N, with properties calculated at the PBE-GGA level.

Unit cell a=4.862 b=4.862 c=4.862 alpha=90.00 beta=90.00 gamma=90.00
Atoms (fractional coordinates):
In1 0.500 0.500 0.500
Sn1 0.500 0.000 0.000
N1 0.000 0.000 0.000
Sn2 0.000 0.500 0.000
Sn3 0.000 0.000 0.500

Values from the calculation:
Magnetization = 0.0 Bohr magnetons per cell
Crystal system = cubic
Uncorrected energy = -4.189 eV per atom

---

7.
Below is a relaxed structure of InSn2N2, with properties calculated at the PBE-GGA level.

Unit cell a=4.515 b=4.515 c=6.364 alpha=69.23 beta=69.23 gamma=90.00
Atoms (fractional coordinates):
Sn1 0.250 0.750 0.500
In1 0.000 0.000 0.000
N1 0.730 0.730 0.540
N2 0.270 0.270 0.460
Sn2 0.750 0.250 0.500

Values from the calculation:
Magnetization = 0.0 Bohr magnetons per cell
Crystal system = tetragonal
Uncorrected energy = -4.716 eV per atom

---

8.
Below is a relaxed structure of InSnN3, with properties calculated at the PBE-GGA level.

Unit cell a=4.280 b=4.280 c=4.280 alpha=90.00 beta=90.00 gamma=90.00
Atoms (fractional coordinates):
Sn1 0.500 0.500 0.500
N1 0.000 0.500 0.000
N2 0.000 0.000 0.500
In1 0.000 0.000 0.000
N3 0.500 0.000 0.000

Values from the calculation:
Magnetization = 3.9 Bohr magnetons per cell
Crystal system = cubic
Uncorrected energy = -4.618 eV per atom

---

9.
Below is a relaxed structure of InSnN3, with properties calculated at the PBE-GGA level.

Unit cell a=4.166 b=4.166 c=4.166 alpha=90.00 beta=90.00 gamma=90.00
Atoms (fractional coordinates):
N1 0.000 0.000 0.500
Sn1 0.000 0.000 0.000
In1 0.500 0.500 0.500
N2 0.500 0.000 0.000
N3 0.000 0.500 0.000

Values from the calculation:
Magnetization = 2.6 Bohr magnetons per cell
Crystal system = cubic
Uncorrected energy = -4.836 eV per atom

---

10.
Below is a relaxed structure of InSn2N2, with properties calculated at the PBE-GGA level.

Unit cell a=3.208 b=3.208 c=11.225 alpha=90.00 beta=90.00 gamma=120.00
Atoms (fractional coordinates):
Sn1 0.333 0.667 0.713
N1 0.333 0.667 0.514
N2 0.667 0.333 0.486
In1 0.000 0.000 0.000
Sn2 0.667 0.333 0.287

Values from the calculation:
Magnetization = 0.0 Bohr magnetons per cell
Crystal system = trigonal
Uncorrected energy = -4.401 eV per atom

---

11.
Below is a relaxed structure of Tb4InSnN, with properties calculated at the PBE-GGA level.

Unit cell a=6.704 b=6.704 c=8.730 alpha=90.00 beta=112.58 gamma=90.00
Atoms (fractional coordinates):
Tb1 0.090 0.750 0.179
N1 0.249 0.750 0.499
Sn1 0.891 0.750 0.782
Sn2 0.109 0.250 0.218
Tb2 0.411 0.750 0.823
Tb3 0.000 0.000 0.500
In1 0.390 0.250 0.779
Tb4 0.910 0.250 0.821
Tb5 0.500 0.500 0.500
Tb6 0.000 0.500 0.500
Tb7 0.500 0.000 0.500
In2 0.610 0.750 0.221
N2 0.751 0.250 0.501
Tb8 0.589 0.250 0.177

Values from the calculation:
Magnetization = 0.0 Bohr magnetons per cell
Crystal system = orthorhombic
Uncorrected energy = -5.665 eV per atom

---

12.
Below is a relaxed structure of InSnTeN2, with properties calculated at the PBE-GGA level.

Unit cell a=4.244 b=4.244 c=6.144 alpha=90.00 beta=90.00 gamma=90.00
Atoms (fractional coordinates):
N1 0.500 0.000 0.000
Te1 0.000 0.000 0.500
Sn1 0.000 0.000 0.000
In1 0.500 0.500 0.500
N2 0.000 0.500 0.000

Values from the calculation:
Magnetization = 2.0 Bohr magnetons per cell
Crystal system = tetragonal
Uncorrected energy = -4.199 eV per atom